Here is a relaxed structure of PrNd2Zn2Ga2 from Alexandria. Energies are from GGA-PBE.

Cell: 9.986 9.986 9.986 Å, 26.17 26.17 26.17°
Sites, in units of the cell vectors:
Pr: 0.000 0.000 0.000
Nd: 0.128 0.128 0.128
Nd: 0.872 0.872 0.872
Zn: 0.401 0.401 0.401
Zn: 0.599 0.599 0.599
Ga: 0.263 0.263 0.263
Ga: 0.737 0.737 0.737

Calculated values
Space-group type: R-3m (166)
E_form in eV/atom: -0.3988
Fermi-level density of states in states/eV per cell: 3.8